Below is a geometry-optimized CsSbTe3As structure, with properties calculated at the PBE level.

Calculated values
**Formation energy (no corrections)**: -1.85 eV/f.u.
**Crystal system**: monoclinic
**Total energy**: -3.48 eV per atom
**V**: 504.16 Å³/cell
**Density of states at the Fermi level**: 1.11 states/eV/f.u.

Cell lengths 4.6709, 10.0692, 10.7689 Å; angles 95.48, 90.00, 90.00 degrees
With the nearest neighbours (Å) after each atom.
Fractional positions:
As (0.2500, 0.1362, 0.6360)  3 Te 2.67-2.74
Sb (0.2500, 0.6239, 0.1244)  6 Te 2.96-3.19
Te (0.2500, 0.7355, 0.4114)  2 As 2.74
Te (0.7500, 0.2645, 0.5886)  2 As 2.74
Te (0.2500, 0.5763, 0.8487)  3 Sb 2.96-3.12
As (0.7500, 0.8638, 0.3640)  3 Te 2.67-2.74
Cs (0.2500, 0.1456, 0.2714)  3 As 3.88-3.94, 7 Te 3.96-4.22
Te (0.7500, 0.4237, 0.1513)  3 Sb 2.96-3.12
Te (0.2500, 0.1677, 0.8855)  1 As 2.67
Sb (0.7500, 0.3761, 0.8756)  6 Te 2.96-3.19
Cs (0.7500, 0.8544, 0.7286)  3 As 3.88-3.94, 7 Te 3.96-4.22
Te (0.7500, 0.8323, 0.1145)  1 As 2.67